1.
{"formula": "Sr2ErTmSe4", "functional": "PBE", "state": "optimized geometry", "sg": "P2/m", "total_energy_ev_per_atom": -5.141, "lattice": [[7.224, 0.000, 0.000], [0.000, 4.179, 0.000], [-2.417, 0.000, 7.013]], "species": ["Sr", "Sr", "Er", "Tm", "Se", "Se", "Se", "Se"], "fractional_positions": [[0.000, 0.000, 0.000], [0.500, 0.500, 0.000], [0.000, 0.500, 0.500], [0.500, 0.000, 0.500], [0.243, 0.000, 0.727], [0.259, 0.500, 0.274], [0.741, 0.500, 0.726], [0.757, 0.000, 0.273]]}


2.
{"formula": "In5I4Cl", "functional": "PBE", "state": "optimized geometry", "e_above_lowest_polymorph_mev_per_atom": 6.9, "sg": "I4/mmm", "lattice": [[-2.453, 2.453, 17.196], [2.453, -2.453, 17.196], [2.453, 2.453, -17.196]], "species": ["In", "In", "In", "In", "In", "I", "I", "I", "I", "Cl"], "fractional_positions": [[0.000, 0.000, 0.000], [0.201, 0.201, 0.000], [0.407, 0.407, 0.000], [0.593, 0.593, 0.000], [0.799, 0.799, 0.000], [0.100, 0.100, 0.000], [0.304, 0.304, 0.000], [0.696, 0.696, 0.000], [0.900, 0.900, 0.000], [0.500, 0.500, 0.000]]}


- Which formula does entry 1 have?
  Sr2ErTmSe4